Material: Si3NiF
Method: DFT, PBE with a Hubbard U
State: optimized geometry

Output
E: -16.7 eV per formula unit

Unit cell a=4.2522 b=4.2522 c=4.2522 alpha=90.00 beta=90.00 gamma=90.00
Atoms (fractional coordinates):
1 Si 0.0000 0.0000 0.5000
2 Si 0.0000 0.5000 0.0000
3 Si 0.5000 0.0000 0.0000
4 Ni 0.5000 0.5000 0.5000
5 F 0.0000 0.0000 0.0000